[1]
## Mg4Zn3 (PBE)

Data for Mg4Zn3 after structural relaxation.

abc: 12.4678 12.4678 5.8284
angles: 90.00 90.00 120.00
Space group R-3 (No. 148, hexagonal axes)
Asymmetric unit:
Mg (0.0000, 0.0000, 0.0000)
Mg (0.0000, 0.0000, 0.5000)
Mg (0.0514, 0.2496, 0.1810)
Zn (0.0502, 0.2325, 0.6892)

## Properties
The value obtained for the total DFT energy (no corrections) is -63.7 eV for the cell shown. The calculation puts the theoretical density at 3.7 g cm⁻³. For the total magnetization, the calculation gives 0.00 μB/atom.


[2]
## Na3Ca2NpSe6 (PBE)

Data for Na3Ca2NpSe6 after structural relaxation.

abc: 7.264 12.590 7.357
angles: 90.00 109.32 90.00
Space group C2/m (No. 12)
Asymmetric unit:
Na (0.000, 0.000, 0.000)
Na (0.000, 0.331, 0.000)
Ca (0.000, 0.167, 0.500)
Np (0.000, 0.500, 0.500)
Se (0.234, 0.343, 0.731)
Se (0.237, 0.500, 0.273)

## Properties
The value obtained for the total DFT energy (no corrections) is -117.5 eV for the cell shown. The calculation puts the theoretical density at 4.5 g cm⁻³. For the energy relative to the elements, uncorrected, the calculation gives -1412.7 meV/atom. For the total magnetization, the calculation gives 0.17 μB/atom.


[3]
## RbAlCuS2 (PBE)

Data for RbAlCuS2 after structural relaxation.

abc: 6.069 13.619 6.067
angles: 90.00 90.00 90.00
Space group Cmme (No. 67)
Asymmetric unit:
Rb (0.000, 0.250, 0.231)
Al (0.250, 0.000, 0.500)
Cu (0.000, 0.000, 0.000)
S (0.000, 0.094, 0.701)

## Properties
The value obtained for the total DFT energy (no corrections) is -80.1 eV for the cell shown. The calculation puts the theoretical density at 3.2 g cm⁻³. For the energy relative to the elements, uncorrected, the calculation gives -592.4 meV/atom. For the total magnetization, the calculation gives 0.00 μB/atom.


> Among the records above, which one has the highest theoretical density?

Na3Ca2NpSe6


> Among the records above, which one has the lowest total DFT energy (no corrections)?

Na3Ca2NpSe6


> Which of these has the highest total DFT energy (no corrections)?

Mg4Zn3